AcU2O6 | GGA-PBE | optimized geometry

Cell and atoms, written as POSCAR:
```
AcU2O6
1.0
3.950 0.000 0.000
-1.975 3.421 0.000
0.000 0.000 9.547
Ac U O
1 2 6
Cartesian
0.000 0.000 0.000 Ac
0.000 2.281 6.292 U
1.975 1.140 3.255 U
0.000 0.000 2.681 O
0.000 0.000 6.866 O
0.000 2.281 4.059 O
0.000 2.281 8.463 O
1.975 1.140 1.084 O
1.975 1.140 5.488 O
```

Results
- Total DFT energy (no corrections): -9.63 eV per atom
- D(E_F): 9.657 states/eV/f.u.
- SG: P-3m1, No. 164
- Crystal system: trigonal
- ΔE_f (raw): -3.36 eV/atom